(1)
Material: K2MnZn
Method: DFT, GGA-PBE
State: relaxed

The structure in CIF format:
```
data_K2MnZn
_cell_length_a 4.070
_cell_length_b 5.982
_cell_length_c 11.647
_cell_angle_alpha 90.00
_cell_angle_beta 90.00
_cell_angle_gamma 90.00
_space_group_name_H-M_alt 'I m m 2'
_space_group_IT_number 44
loop_
_space_group_symop_operation_xyz
'x,y,z'
'-x,-y,z'
'-x,y,z'
'x,-y,z'
'x+1/2,y+1/2,z+1/2'
'-x+1/2,-y+1/2,z+1/2'
'-x+1/2,y+1/2,z+1/2'
'x+1/2,-y+1/2,z+1/2'
loop_
_atom_site_label
_atom_site_type_symbol
_atom_site_fract_x
_atom_site_fract_y
_atom_site_fract_z
K1 K 0.000 0.000 0.000
K2 K 0.000 0.500 0.198
Mn1 Mn 0.000 0.500 0.798
Zn1 Zn 0.000 0.000 0.429
```

Values from the calculation:
Magnetic moment, μB/f.u.: 4.19
Formation enthalpy at 0 K, eV per formula unit: 2.07
Fermi-level density of states, states/eV per atom: 0.847
Total DFT energy (no corrections), eV/atom: -2.643


(2)
Material: K4Mn2Zn
Method: DFT, GGA-PBE
State: relaxed

The structure in CIF format:
```
data_K4Mn2Zn
_cell_length_a 6.580
_cell_length_b 6.580
_cell_length_c 16.536
_cell_angle_alpha 90.00
_cell_angle_beta 90.00
_cell_angle_gamma 90.00
_space_group_name_H-M_alt 'I 4/m m m'
_space_group_IT_number 139
_space_group_name_Hall '-I 4 2'
loop_
_atom_site_label
_atom_site_type_symbol
_atom_site_fract_x
_atom_site_fract_y
_atom_site_fract_z
K1 K 0.000 0.000 0.207
K2 K 0.000 0.500 0.000
Mn1 Mn 0.000 0.000 0.423
Zn1 Zn 0.000 0.000 0.000
```

Values from the calculation:
Magnetic moment, μB/f.u.: 8.78
Formation enthalpy at 0 K, eV per formula unit: 5.60
Fermi-level density of states, states/eV per atom: 1.401
Total DFT energy (no corrections), eV/atom: -2.629


(3)
Material: K2MnZn
Method: DFT, GGA-PBE
State: relaxed

The structure in CIF format:
```
data_K2MnZn
_cell_length_a 5.238
_cell_length_b 5.238
_cell_length_c 10.148
_cell_angle_alpha 90.00
_cell_angle_beta 90.00
_cell_angle_gamma 90.00
_space_group_name_H-M_alt 'I 4/m m m'
_space_group_IT_number 139
_space_group_name_Hall '-I 4 2'
loop_
_atom_site_label
_atom_site_type_symbol
_atom_site_fract_x
_atom_site_fract_y
_atom_site_fract_z
K1 K 0.000 0.500 0.250
Mn1 Mn 0.000 0.000 0.000
Zn1 Zn 0.000 0.000 0.500
```

Values from the calculation:
Magnetic moment, μB/f.u.: 4.25
Formation enthalpy at 0 K, eV per formula unit: 2.83
Fermi-level density of states, states/eV per atom: 1.128
Total DFT energy (no corrections), eV/atom: -2.451


(4)
Material: KMnZn
Method: DFT, GGA-PBE
State: relaxed

The structure in CIF format:
```
data_KMnZn
_cell_length_a 4.5451
_cell_length_b 4.5451
_cell_length_c 4.7757
_cell_angle_alpha 90.00
_cell_angle_beta 90.00
_cell_angle_gamma 120.00
_space_group_name_H-M_alt 'P -6 m 2'
_space_group_IT_number 187
_space_group_name_Hall 'P -6 2'
loop_
_atom_site_label
_atom_site_type_symbol
_atom_site_fract_x
_atom_site_fract_y
_atom_site_fract_z
K1 K 0.0000 0.0000 0.0000
Mn1 Mn 0.6667 0.3333 0.5000
Zn1 Zn 0.3333 0.6667 0.5000
```

Values from the calculation:
Magnetic moment, μB/f.u.: 4.05
Formation enthalpy at 0 K, eV per formula unit: 1.91
Fermi-level density of states, states/eV per atom: 0.940
Total DFT energy (no corrections), eV/atom: -3.210